No. 1
Ca2Ac3TbTe6 (PBE, relaxed); E_form (uncorrected) = -1491 meV per atom; DFT total energy = -4.809 eV/atom; calculated density = 6.791 g/cm3
1.0
-2.136 7.380 1.794
-1.226 -2.812 -7.268
-5.779 -4.044 3.968
Te Ca Tb Ac
6 2 1 3
direct
0.075 0.406 0.226
0.747 0.747 0.232
0.594 0.925 0.774
0.925 0.594 0.774
0.253 0.253 0.768
0.406 0.075 0.226
0.334 0.666 0.000
0.666 0.334 0.000
0.000 0.000 0.000
0.171 0.829 0.500
0.829 0.171 0.500
0.500 0.500 0.500

---

No. 2
VMo2Rh7 (PBE, relaxed); calculated formation energy = 0.349 eV per atom; DFT total energy = -7.875 eV/atom; calculated density = 9.748 g/cm3
1.0
-2.480 -0.367 -1.005
2.818 -6.673 -4.519
-3.116 -0.643 7.923
Rh Mo V
7 2 1
direct
0.000 0.184 0.816
0.500 0.314 0.130
0.500 0.686 0.870
0.500 0.500 0.500
0.000 0.816 0.184
0.500 0.130 0.314
0.500 0.870 0.686
0.500 0.329 0.671
0.500 0.671 0.329
0.000 0.000 0.000

---

No. 3
Ca2BiH (PBE, relaxed); DFT total energy = -3.511 eV/atom; calculated density = 4.532 g/cm3; relative energy among the computed polymorphs = 0 meV/atom
1.0
6.834 0.000 0.000
0.000 8.853 0.000
0.000 0.000 7.029
Bi Ca H
4 8 4
direct
0.506 0.306 0.662
0.006 0.694 0.338
0.006 0.194 0.162
0.506 0.806 0.838
0.506 0.122 0.061
0.756 0.000 0.500
0.506 0.622 0.439
0.256 0.500 0.000
0.006 0.378 0.561
0.006 0.878 0.939
0.756 0.500 0.000
0.256 0.000 0.500
0.006 0.537 0.812
0.506 0.463 0.188
0.506 0.963 0.312
0.006 0.037 0.688

---

No. 4
Sr2TmZn2O6 (PBE, relaxed); E_form (uncorrected) = -2150 meV per atom; DFT total energy = -5.799 eV/atom; calculated density = 5.286 g/cm3
1.0
6.004 0.000 0.000
3.002 5.200 0.000
3.002 1.733 5.745
Zn Sr O Tm
2 2 6 1
direct
0.580 0.580 0.260
0.420 0.420 0.740
0.201 0.201 0.396
0.799 0.799 0.604
0.757 0.221 0.266
0.243 0.779 0.734
0.221 0.757 0.266
0.243 0.243 0.734
0.757 0.757 0.266
0.779 0.243 0.734
0.000 0.000 0.000

---

No. 5
Nd4ThS6 (PBE, relaxed); E_form (uncorrected) = -1989 meV per atom; DFT total energy = -6.648 eV/atom; calculated density = 6.173 g/cm3
1.0
3.982 0.000 0.000
-1.991 6.689 0.000
0.000 0.000 20.226
S Nd Th
12 8 2
direct
0.945 0.891 0.671
0.945 0.891 0.829
0.769 0.538 0.093
0.304 0.609 0.250
0.500 0.000 0.500
0.055 0.109 0.171
0.769 0.538 0.407
0.231 0.462 0.907
0.231 0.462 0.593
0.696 0.391 0.750
0.500 0.000 0.000
0.055 0.109 0.329
0.413 0.827 0.373
0.587 0.173 0.627
0.587 0.173 0.873
0.139 0.277 0.460
0.413 0.827 0.127
0.139 0.277 0.040
0.861 0.723 0.960
0.861 0.723 0.540
0.655 0.311 0.250
0.345 0.689 0.750

---

No. 6
GdTmC2 (PBE, relaxed); calculated formation energy = 0.044 eV per atom; DFT total energy = -9.206 eV/atom; calculated density = 8.952 g/cm3
1.0
3.585 0.000 0.000
1.792 3.105 0.000
1.792 1.035 5.837
Tm C Gd
1 2 1
direct
0.000 0.000 0.000
0.252 0.252 0.245
0.748 0.748 0.755
0.500 0.500 0.500

---

No. 7
Mg2CrP (PBE, relaxed); calculated formation energy = 0.325 eV per atom; DFT total energy = -4.231 eV/atom; calculated density = 3.424 g/cm3
1.0
2.764 0.000 0.000
0.000 2.764 0.000
0.000 0.000 8.354
Cr Mg P
1 2 1
direct
0.500 0.500 0.750
0.000 0.000 0.997
0.000 0.000 0.503
0.500 0.500 0.250

---

No. 8
Hf2AlSb (PBE, relaxed); E_form (uncorrected) = -67 meV per atom; DFT total energy = -7.010 eV/atom; calculated density = 9.282 g/cm3; relative energy among the computed polymorphs = 30 meV/atom
1.0
-1.352 -0.163 -3.346
-3.571 -0.238 -0.496
-2.149 7.852 -1.463
Hf Al Sb
2 1 1
direct
0.082 0.082 0.753
0.251 0.251 0.247
0.499 0.499 0.502
0.667 0.667 0.998

---

No. 9
Y2CdB2Rh5 (PBE, relaxed); calculated formation energy = -0.704 eV per atom; DFT total energy = -7.099 eV/atom; calculated density = 9.071 g/cm3
1.0
3.214 0.000 0.000
0.000 9.703 0.000
0.000 0.000 9.703
B Rh Cd Y
4 10 2 4
direct
0.000 0.122 0.622
0.000 0.622 0.878
0.000 0.378 0.122
0.000 0.878 0.378
0.500 0.070 0.772
0.500 0.430 0.272
0.500 0.000 0.500
0.500 0.570 0.728
0.500 0.228 0.070
0.500 0.772 0.930
0.500 0.272 0.570
0.500 0.500 0.000
0.500 0.728 0.430
0.500 0.930 0.228
0.000 0.500 0.500
0.000 0.000 0.000
0.000 0.324 0.824
0.000 0.824 0.676
0.000 0.676 0.176
0.000 0.176 0.324

---

No. 10
Co2CuAs (PBE, relaxed); calculated formation energy = 0.184 eV per atom; DFT total energy = -5.555 eV/atom; calculated density = 8.647 g/cm3
1.0
-2.340 1.465 -3.050
-4.060 0.393 0.530
-1.681 3.742 0.312
Co As Cu
2 1 1
direct
0.750 0.750 0.750
0.000 0.000 0.000
0.500 0.500 0.500
0.250 0.250 0.250

---

No. 11
KNaNd2Cl8 (PBE, relaxed); E_form (uncorrected) = -2130 meV per atom; DFT total energy = -4.357 eV/atom; calculated density = 2.616 g/cm3
1.0
-0.378 -5.540 -4.017
-2.447 -3.981 4.946
-8.067 2.174 -2.242
Na Cl K Nd
1 8 1 2
direct
0.000 0.000 0.000
0.323 0.311 0.000
0.677 0.689 0.000
0.794 0.218 0.230
0.331 0.317 0.500
0.669 0.683 0.500
0.206 0.782 0.230
0.794 0.218 0.770
0.206 0.782 0.770
0.000 0.000 0.500
0.500 0.500 0.246
0.500 0.500 0.754

---

No. 12
YCdF2 (PBE, relaxed); E_form (uncorrected) = -1884 meV per atom; DFT total energy = -4.664 eV/atom; calculated density = 4.434 g/cm3; relative energy among the computed polymorphs = 458 meV/atom
1.0
2.022 0.000 8.438
-1.011 1.751 8.438
-1.011 -1.751 8.438
F Cd Y
2 1 1
direct
0.917 0.917 0.917
0.083 0.083 0.083
0.500 0.500 0.500
0.000 0.000 0.000

---

No. 13
Sr4BiTe2 (PBE, relaxed); E_form (uncorrected) = -1217 meV per atom; DFT total energy = -3.630 eV/atom; calculated density = 4.732 g/cm3
1.0
-1.635 -0.459 -8.896
6.878 5.711 1.451
2.081 -8.269 3.053
Te Bi Sr
4 2 8
direct
0.750 0.375 0.125
0.250 0.375 0.625
0.750 0.375 0.625
0.250 0.875 0.625
0.000 0.000 0.000
0.500 0.750 0.250
0.188 0.504 0.316
0.688 0.623 0.934
0.812 0.127 0.316
0.812 0.684 0.496
0.312 0.246 0.934
0.188 0.684 0.873
0.688 0.066 0.754
0.312 0.066 0.377

---

No. 14
Th3Ga9Pt2 (PBE, relaxed); calculated formation energy = -0.652 eV per atom; DFT total energy = -5.051 eV/atom; calculated density = 10.284 g/cm3
1.0
4.199 0.000 1.128
1.666 7.875 2.178
0.012 -0.157 8.337
Ga Th Pt
9 3 2
direct
0.129 0.144 0.597
0.332 0.295 0.042
0.129 0.597 0.144
0.871 0.856 0.403
0.000 0.500 0.500
0.668 0.958 0.705
0.871 0.403 0.856
0.668 0.705 0.958
0.332 0.042 0.295
0.325 0.675 0.675
0.000 0.000 0.000
0.675 0.325 0.325
0.500 0.723 0.277
0.500 0.277 0.723

---

No. 15
CaCd2Ge2 (PBE, relaxed); calculated formation energy = -0.060 eV per atom; DFT total energy = -2.674 eV/atom; calculated density = 5.904 g/cm3
1.0
-8.146 -0.075 -0.498
0.250 -7.612 -2.934
-0.186 -1.249 3.225
Ge Cd Ca
4 4 2
direct
0.322 0.178 0.500
0.822 0.322 0.500
0.178 0.678 0.500
0.678 0.822 0.500
0.124 0.376 0.000
0.876 0.624 0.000
0.624 0.124 0.000
0.376 0.876 0.000
0.500 0.500 0.000
0.000 0.000 0.000

---

No. 16
Zn2Ru2Au (PBE, relaxed); calculated formation energy = 0.265 eV per atom; DFT total energy = -4.610 eV/atom; calculated density = 11.669 g/cm3; relative energy among the computed polymorphs = 40 meV/atom
1.0
-3.869 0.459 -5.629
1.892 -6.323 -1.816
-2.502 -1.214 1.621
Zn Au Ru
4 2 4
direct
0.870 0.630 0.000
0.130 0.370 0.000
0.370 0.870 0.000
0.630 0.130 0.000
0.000 0.000 0.000
0.500 0.500 0.000
0.168 0.668 0.500
0.668 0.832 0.500
0.332 0.168 0.500
0.832 0.332 0.500

---

No. 17
FeTcOs (PBE, relaxed); calculated formation energy = 0.092 eV per atom; DFT total energy = -9.928 eV/atom; calculated density = 14.061 g/cm3; relative energy among the computed polymorphs = 101 meV/atom
1.0
-3.068 1.902 2.932
2.806 -4.557 5.892
3.905 2.506 0.079
Tc Fe Os
4 4 4
direct
0.000 0.667 0.500
0.000 0.167 0.000
0.000 0.333 0.500
0.000 0.833 0.000
0.500 0.500 0.500
0.000 0.500 0.000
0.500 0.000 0.000
0.000 0.000 0.500
0.500 0.664 0.000
0.500 0.336 0.000
0.500 0.164 0.500
0.500 0.836 0.500

---

No. 18
Ba2Sr5Cd (PBE, relaxed); calculated formation energy = -0.067 eV per atom; DFT total energy = -1.713 eV/atom; calculated density = 3.317 g/cm3
1.0
-3.459 -0.378 -2.516
5.414 -5.868 -6.561
-5.152 -15.234 9.375
Ba Sr Cd
4 10 2
direct
0.500 0.799 0.388
0.500 0.201 0.612
0.500 0.701 0.888
0.500 0.299 0.112
0.000 0.005 0.776
0.500 0.194 0.390
0.500 0.806 0.610
0.000 0.505 0.724
0.000 0.995 0.224
0.500 0.306 0.890
0.000 0.495 0.276
0.000 0.500 0.500
0.000 0.000 0.000
0.500 0.694 0.110
0.000 0.000 0.500
0.000 0.500 0.000

---

No. 19
Cs2PH (PBE, relaxed); DFT total energy = -2.840 eV/atom; calculated density = 3.087 g/cm3; relative energy among the computed polymorphs = 0 meV/atom
1.0
4.788 0.277 -0.240
-0.365 5.701 -0.848
0.249 0.788 5.716
Cs P H
2 1 1
direct
0.000 0.052 0.044
0.000 0.544 0.552
0.498 0.042 0.542
0.503 0.862 0.362

---

No. 20
Tc2PW (PBE, relaxed); calculated formation energy = 0.063 eV per atom; DFT total energy = -9.710 eV/atom; calculated density = 11.800 g/cm3
1.0
8.315 -1.420 -0.006
8.315 1.420 -0.006
8.074 0.000 2.442
P Tc W
1 2 1
direct
0.253 0.253 0.253
0.994 0.994 0.994
0.749 0.749 0.749
0.505 0.505 0.505

---

No. 21
SmGa2SiNi2 (PBE, relaxed); E_form (uncorrected) = -425 meV per atom; DFT total energy = -5.051 eV/atom; calculated density = 7.054 g/cm3
1.0
-0.938 -3.847 1.670
4.099 -1.203 -0.469
1.145 1.924 5.076
Ga Sm Ni Si
2 1 2 1
direct
0.500 0.500 0.737
0.500 0.500 0.263
0.000 0.000 0.500
0.500 0.000 0.000
0.000 0.500 0.000
0.000 0.000 0.000

---

No. 22
Ce2Pr2Rh3 (PBE, relaxed); calculated formation energy = -0.619 eV per atom; DFT total energy = -6.831 eV/atom; calculated density = 8.427 g/cm3
1.0
7.202 0.000 -2.546
-3.601 6.237 -2.546
0.000 0.000 7.639
Rh Pr Ce
6 4 4
direct
0.622 0.750 0.872
0.250 0.872 0.122
0.128 0.378 0.250
0.750 0.628 0.378
0.878 0.250 0.628
0.372 0.122 0.750
0.620 0.120 0.120
0.880 0.500 0.000
0.000 0.000 0.380
0.500 0.380 0.500
0.000 0.000 0.888
0.388 0.500 0.000
0.500 0.888 0.500
0.112 0.612 0.612